[1]
VASP calculation (GGA-PBE) on a relaxed structure of PrDyY5.

Geometry as CIF:
```
data_PrDyY5
_cell_length_a 6.3104
_cell_length_b 22.8625
_cell_length_c 6.6468
_cell_angle_alpha 90.00
_cell_angle_beta 103.59
_cell_angle_gamma 90.00
_space_group_name_H-M_alt 'C 1 2/c 1'
_space_group_IT_number 15
_space_group_name_Hall '-C 2yc'
loop_
_atom_site_label
_atom_site_fract_x
_atom_site_fract_y
_atom_site_fract_z
Pr1 0.0000 0.0805 0.2500
Dy1 0.0000 0.3331 0.2500
Y1 0.0000 0.3534 0.7500
Y2 0.0256 0.2055 0.9987
Y3 0.2256 0.4551 0.1377
```

Computed properties:
- Energy: -5.759 eV per atom
- Distance to the lowest polymorph of the same formula: 0.0000 eV per atom
- Energy of formation: 0.199 eV per atom

=====

[2]
VASP calculation (GGA-PBE) on a relaxed structure of VSi3.

Geometry as CIF:
```
data_VSi3
_cell_length_a 3.1943
_cell_length_b 7.7558
_cell_length_c 4.3344
_cell_angle_alpha 90.00
_cell_angle_beta 90.00
_cell_angle_gamma 90.00
_space_group_name_H-M_alt 'I m m 2'
_space_group_IT_number 44
_space_group_name_Hall 'I 2 -2'
loop_
_atom_site_label
_atom_site_fract_x
_atom_site_fract_y
_atom_site_fract_z
V1 0.0000 0.0000 0.0000
Si1 0.0000 0.2540 0.6356
Si2 0.0000 0.5000 0.0279
```

Computed properties:
- Energy: -6.369 eV per atom

=====

[3]
VASP calculation (GGA-PBE) on a relaxed structure of SrMg2Ag2.

Geometry as CIF:
```
data_SrMg2Ag2
_cell_length_a 4.4418
_cell_length_b 4.4418
_cell_length_c 12.8282
_cell_angle_alpha 90.00
_cell_angle_beta 90.00
_cell_angle_gamma 90.00
_space_group_name_H-M_alt 'I 4/m m m'
_space_group_IT_number 139
_space_group_name_Hall '-I 4 2'
loop_
_atom_site_label
_atom_site_fract_x
_atom_site_fract_y
_atom_site_fract_z
Sr1 0.0000 0.0000 0.0000
Mg1 0.0000 0.5000 0.2500
Ag1 0.0000 0.0000 0.3890
```

Computed properties:
- Energy: -2.359 eV per atom
- Distance to the lowest polymorph of the same formula: 0.0000 eV per atom
- Energy of formation: -0.245 eV per atom

=====

[4]
VASP calculation (GGA-PBE) on a relaxed structure of LiTlBiO3.

Geometry as CIF:
```
data_LiTlBiO3
_cell_length_a 7.0382
_cell_length_b 3.4888
_cell_length_c 7.9180
_cell_angle_alpha 90.00
_cell_angle_beta 105.09
_cell_angle_gamma 90.00
_space_group_name_H-M_alt 'P 1 21/m 1'
_space_group_IT_number 11
_space_group_name_Hall '-P 2yb'
loop_
_atom_site_label
_atom_site_fract_x
_atom_site_fract_y
_atom_site_fract_z
Li1 0.1063 0.2500 0.0874
Tl1 0.2928 0.7500 0.3965
Bi1 0.3048 0.7500 0.8421
O1 0.0206 0.7500 0.1695
O2 0.3636 0.2500 0.6294
O3 0.3675 0.2500 0.0491
```

Computed properties:
- Energy: -4.890 eV per atom

=====

[5]
VASP calculation (GGA-PBE) on a relaxed structure of Pm8Ge3CI4.

Geometry as CIF:
```
data_Pm8Ge3CI4
_cell_length_a 8.4432
_cell_length_b 8.4432
_cell_length_c 23.0601
_cell_angle_alpha 90.00
_cell_angle_beta 90.00
_cell_angle_gamma 120.00
_space_group_name_H-M_alt 'R -3 m'
_space_group_IT_number 166
_space_group_name_Hall '-R 3 2"'
loop_
_atom_site_label
_atom_site_fract_x
_atom_site_fract_y
_atom_site_fract_z
Pm1 0.0000 0.0000 0.2334
Pm2 0.0298 0.5149 0.2287
Ge1 0.0000 0.5000 0.5000
C1 0.0000 0.0000 0.5000
I1 0.0000 0.0000 0.0000
I2 0.0000 0.5000 0.0000
```

Computed properties:
- Energy: -5.129 eV per atom

=====

[6]
VASP calculation (GGA-PBE) on a relaxed structure of AlCr.

Geometry as CIF:
```
data_AlCr
_cell_length_a 4.0810
_cell_length_b 4.0810
_cell_length_c 8.1816
_cell_angle_alpha 90.00
_cell_angle_beta 90.00
_cell_angle_gamma 120.00
_space_group_name_H-M_alt 'P 63/m m c'
_space_group_IT_number 194
_space_group_name_Hall '-P 6c 2c'
loop_
_atom_site_label
_atom_site_fract_x
_atom_site_fract_y
_atom_site_fract_z
Al1 0.3333 0.6667 0.0816
Cr1 0.0000 0.0000 0.2500
Cr2 0.3333 0.6667 0.7500
```

Computed properties:
- Energy: -6.535 eV per atom
- Energy of formation: 0.148 eV per atom

=====

[7]
VASP calculation (GGA-PBE) on a relaxed structure of ZrSb2IrI.

Geometry as CIF:
```
data_ZrSb2IrI
_cell_length_a 5.1321
_cell_length_b 5.1321
_cell_length_c 5.3884
_cell_angle_alpha 90.00
_cell_angle_beta 90.00
_cell_angle_gamma 90.00
_space_group_name_H-M_alt 'P 4/m m m'
_space_group_IT_number 123
_space_group_name_Hall '-P 4 2'
loop_
_atom_site_label
_atom_site_fract_x
_atom_site_fract_y
_atom_site_fract_z
Zr1 0.0000 0.0000 0.0000
Sb1 0.0000 0.5000 0.5000
Ir1 0.5000 0.5000 0.5000
I1 0.5000 0.5000 0.0000
```

Computed properties:
- Energy: -4.792 eV per atom
- Distance to the lowest polymorph of the same formula: 0.0000 eV per atom

=====

[8]
VASP calculation (GGA-PBE) on a relaxed structure of SrLiCo2.

Geometry as CIF:
```
data_SrLiCo2
_cell_length_a 7.1584
_cell_length_b 4.1319
_cell_length_c 5.9025
_cell_angle_alpha 90.00
_cell_angle_beta 113.61
_cell_angle_gamma 90.00
_space_group_name_H-M_alt 'C 1 2/m 1'
_space_group_IT_number 12
_space_group_name_Hall '-C 2y'
loop_
_atom_site_label
_atom_site_fract_x
_atom_site_fract_y
_atom_site_fract_z
Sr1 0.0000 0.0000 0.0000
Li1 0.0000 0.5000 0.5000
Co1 0.1805 0.0000 0.5414
```

Computed properties:
- Energy: -4.174 eV per atom
- Distance to the lowest polymorph of the same formula: 0.0860 eV per atom
- Energy of formation: 0.278 eV per atom

=====

[9]
VASP calculation (GGA-PBE) on a relaxed structure of ZrCu2Ag.

Geometry as CIF:
```
data_ZrCu2Ag
_cell_length_a 3.0056
_cell_length_b 4.5513
_cell_length_c 4.8918
_cell_angle_alpha 90.00
_cell_angle_beta 90.00
_cell_angle_gamma 90.00
_space_group_name_H-M_alt 'P m m m'
_space_group_IT_number 47
_space_group_name_Hall '-P 2 2'
loop_
_atom_site_label
_atom_site_fract_x
_atom_site_fract_y
_atom_site_fract_z
Zr1 0.0000 0.0000 0.0000
Cu1 0.0000 0.5000 0.5000
Cu2 0.5000 0.5000 0.0000
Ag1 0.5000 0.0000 0.5000
```

Computed properties:
- Energy: -4.705 eV per atom
- Distance to the lowest polymorph of the same formula: 0.2632 eV per atom
- Energy of formation: 0.193 eV per atom

=====

[10]
VASP calculation (GGA-PBE) on a relaxed structure of ReTc2SnH.

Geometry as CIF:
```
data_ReTc2SnH
_cell_length_a 4.7419
_cell_length_b 4.7419
_cell_length_c 5.2161
_cell_angle_alpha 90.00
_cell_angle_beta 90.00
_cell_angle_gamma 90.00
_space_group_name_H-M_alt 'P 4/m m m'
_space_group_IT_number 123
_space_group_name_Hall '-P 4 2'
loop_
_atom_site_label
_atom_site_fract_x
_atom_site_fract_y
_atom_site_fract_z
Re1 0.0000 0.0000 0.0000
Tc1 0.0000 0.5000 0.0000
Sn1 0.0000 0.0000 0.5000
H1 0.5000 0.5000 0.5000
```

Computed properties:
- Energy: -6.214 eV per atom